8
Lattice="5.153 0.000 0.000 0.000 5.153 0.000 2.577 2.577 9.156" Properties=species:S:1:pos:R:3 comment="BaIrAu2 PBE relaxed" e_above_lowest_polymorph_mev_per_atom=176 spacegroup="I4_1/amd (141)" m_tot_mub_per_cell=0.00 pbc="T T T"
Ir 0.000 0.000 0.000
Ir 5.153 2.577 4.578
Au 5.150 1.288 2.289
Au 5.156 3.865 2.289
Au 3.865 2.580 6.867
Au 6.441 2.573 6.867
Ba 2.577 2.577 0.000
Ba 2.577 5.153 4.578

18
Lattice="7.626 0.000 0.000 0.000 8.153 -0.428 0.000 0.720 13.784" Properties=species:S:1:pos:R:3 comment="Ba6IrAu2 PBE relaxed" spacegroup="P2_1/c (14)" m_tot_mub_per_cell=0.00 total_energy_ev_per_atom=-3.42 pbc="T T T"
Ba 1.767 1.769 9.003
Ba 1.774 1.538 4.648
Ba 2.108 1.504 -0.076
Ba 5.921 2.933 6.754
Ba 5.587 2.898 2.030
Ba 5.580 3.388 11.460
Ba 5.858 7.104 4.354
Ba 5.851 7.335 8.709
Ba 5.518 7.369 13.432
Ba 1.705 5.940 6.602
Ba 2.038 5.975 11.326
Ba 2.045 5.485 1.896
Ir 3.813 4.076 -0.214
Ir 0.000 0.360 6.892
Au 3.818 0.128 2.432
Au 0.005 4.309 4.246
Au 7.620 4.564 9.110
Au 3.808 8.745 10.924

4
Lattice="-0.173 -4.639 -0.776 3.278 -2.819 1.859 -2.073 -3.142 4.884" Properties=species:S:1:pos:R:3 comment="BaIrAu2 PBE relaxed" e_above_lowest_polymorph_mev_per_atom=0 spacegroup="Cm (8)" m_tot_mub_per_cell=0.00 pbc="T T T"
Ir 0.903 -2.512 0.552
Au 2.979 -7.483 1.265
Au 0.229 -8.064 5.266
Ba 0.540 -5.301 2.952

4
Lattice="-2.149 2.872 -2.353 -1.242 -2.504 -1.924 -5.293 -0.560 4.150" Properties=species:S:1:pos:R:3 comment="BaIrAu2 PBE relaxed" e_above_lowest_polymorph_mev_per_atom=312 spacegroup="Pmm2 (25)" m_tot_mub_per_cell=0.18 pbc="T T T"
Ir -6.500 -0.620 1.269
Au -5.013 -0.827 3.568
Au -2.342 1.006 -0.544
Ba -3.388 -1.842 0.845

4
Lattice="-4.633 -0.271 -2.761 -1.689 -5.114 0.392 1.514 3.443 3.875" Properties=species:S:1:pos:R:3 comment="BaIrAu2 PBE relaxed" e_above_lowest_polymorph_mev_per_atom=459 spacegroup="I4/mmm (139)" m_tot_mub_per_cell=0.00 pbc="T T T"
Ir -3.140 0.240 -0.035
Au 0.000 0.000 0.000
Au -3.161 -2.693 -1.185
Ba -1.668 -2.182 1.541

4
Lattice="6.059 0.009 0.007 2.666 5.442 -0.007 -3.695 -3.794 2.945" Properties=species:S:1:pos:R:3 comment="BaIrAu2 PBE relaxed" e_above_lowest_polymorph_mev_per_atom=328 spacegroup="Immm (71)" m_tot_mub_per_cell=0.00 pbc="T T T"
Ir 3.363 -0.530 1.476
Au 8.283 5.175 0.000
Au 4.805 3.002 0.000
Ba 1.666 2.187 1.469

4
Lattice="4.619 0.000 0.000 0.000 5.188 -0.878 0.000 0.799 4.574" Properties=species:S:1:pos:R:3 comment="BaIrAu2 PBE relaxed" e_above_lowest_polymorph_mev_per_atom=191 spacegroup="P2/m (10)" m_tot_mub_per_cell=0.00 pbc="T T T"
Ir 2.309 4.490 2.771
Au 0.000 0.605 3.433
Au 0.000 3.186 2.988
Ba 2.309 1.497 0.924

4
Lattice="4.659 -0.003 0.014 2.332 4.033 0.014 2.312 1.333 5.538" Properties=species:S:1:pos:R:3 comment="BaIrAu2 PBE relaxed" e_above_lowest_polymorph_mev_per_atom=8 spacegroup="R-3m (166)" m_tot_mub_per_cell=0.00 pbc="T T T"
Ir 2.325 1.341 1.392
Au 6.987 4.029 0.938
Au 4.654 2.683 1.874
Ba 6.976 4.023 4.175

5
Lattice="5.089 0.000 0.000 0.000 5.089 0.000 0.000 0.000 5.089" Properties=species:S:1:pos:R:3 comment="BaIr3Au PBE relaxed" e_above_lowest_polymorph_mev_per_atom=1519 spacegroup="Pm-3m (221)" m_tot_mub_per_cell=1.38 pbc="T T T"
Ir 0.000 2.544 0.000
Ir 0.000 0.000 2.544
Ir 2.544 0.000 0.000
Au 2.544 2.544 2.544
Ba 0.000 0.000 0.000

4
Lattice="3.248 0.000 0.000 0.000 3.909 0.000 0.000 0.000 7.110" Properties=species:S:1:pos:R:3 comment="BaIrAu2 PBE relaxed" e_above_lowest_polymorph_mev_per_atom=351 spacegroup="Pmmm (47)" m_tot_mub_per_cell=0.00 pbc="T T T"
Ir 1.624 1.954 5.332
Au 0.000 0.000 6.675
Au 0.000 0.000 3.990
Ba 1.624 1.954 1.777

10
Lattice="7.556 0.000 0.000 0.000 7.556 0.000 0.000 0.000 4.865" Properties=species:S:1:pos:R:3 comment="Ba2IrAu2 PBE relaxed" spacegroup="P4/mbm (127)" m_tot_mub_per_cell=0.00 total_energy_ev_per_atom=-4.05 pbc="T T T"
Ir 0.000 0.000 0.000
Ir 3.778 3.778 0.000
Au 2.719 6.497 0.000
Au 6.497 4.837 0.000
Au 4.837 1.059 0.000
Au 1.059 2.719 0.000
Ba 1.343 5.121 2.433
Ba 5.121 6.213 2.433
Ba 6.213 2.435 2.433
Ba 2.435 1.343 2.433

20
Lattice="7.978 0.000 0.218 0.000 8.728 0.000 0.221 0.000 11.777" Properties=species:S:1:pos:R:3 comment="Ba6IrAu3 PBE relaxed" spacegroup="P2_1/c (14)" m_tot_mub_per_cell=0.00 total_energy_ev_per_atom=-3.51 pbc="T T T"
Ba 5.688 1.501 11.169
Ba 5.424 1.701 6.938
Ba 5.257 3.900 3.190
Ba 2.941 4.828 8.804
Ba 2.775 7.027 5.057
Ba 2.510 7.227 0.826
Ba 1.589 2.863 5.171
Ba 1.325 2.663 0.940
Ba 1.379 0.464 8.970
Ba 6.819 8.264 3.025
Ba 6.874 6.065 11.054
Ba 6.610 5.865 6.823
Ir 4.099 4.364 5.997
Ir 0.000 0.000 0.000
Au 4.545 7.795 9.102
Au 3.989 4.364 0.109
Au 3.654 0.933 2.892
Au 0.446 5.297 3.105
Au 0.110 0.000 5.888
Au 7.753 3.431 8.890

Repeat the fourth record exactly.
4
Lattice="-2.149 2.872 -2.353 -1.242 -2.504 -1.924 -5.293 -0.560 4.150" Properties=species:S:1:pos:R:3 comment="BaIrAu2 PBE relaxed" e_above_lowest_polymorph_mev_per_atom=312 spacegroup="Pmm2 (25)" m_tot_mub_per_cell=0.18 pbc="T T T"
Ir -6.500 -0.620 1.269
Au -5.013 -0.827 3.568
Au -2.342 1.006 -0.544
Ba -3.388 -1.842 0.845

Please write out number 5 again, unchanged.
4
Lattice="-4.633 -0.271 -2.761 -1.689 -5.114 0.392 1.514 3.443 3.875" Properties=species:S:1:pos:R:3 comment="BaIrAu2 PBE relaxed" e_above_lowest_polymorph_mev_per_atom=459 spacegroup="I4/mmm (139)" m_tot_mub_per_cell=0.00 pbc="T T T"
Ir -3.140 0.240 -0.035
Au 0.000 0.000 0.000
Au -3.161 -2.693 -1.185
Ba -1.668 -2.182 1.541